Entry from the Alexandria database: an optimized crystal structure of PmMg3Ga2 (GGA-PBE).

Output
The calculation puts the energy relative to the elements at -0.3151 eV per atom. As for the space-group type: C2/m (12). The final energy comes out at -2.91 eV/atom. The density of states at the Fermi level comes out at 3.19 states/eV/cell.

Lattice parameters (Å, degrees): 8.5940 8.5940 8.4822 119.57 119.57 30.34
Last column: nearest neighbours and their distance in Å.
Atoms (fractional coordinates):
Pm1 0.1304 0.1304 0.1298  6 Ga 3.17-3.26, 8 Mg 3.33-3.47
Pm2 0.8696 0.8696 0.8702  6 Ga 3.17-3.26, 8 Mg 3.33-3.47
Mg1 0.0006 0.0006 0.3331  2 Ga 2.74, 1 Mg 2.84
Mg2 0.3334 0.3334 0.5281  3 Ga 2.72-2.84
Mg3 0.3340 0.3340 0.1402  3 Ga 2.72-2.84
Mg4 0.6660 0.6660 0.8598  3 Ga 2.72-2.84
Mg5 0.6666 0.6666 0.4719  3 Ga 2.72-2.84
Mg6 0.9994 0.9994 0.6669  2 Ga 2.74, 1 Mg 2.84
Ga1 0.2043 0.2043 0.7042  5 Mg 2.84-3.18
Ga2 0.5001 0.5001 0.1475  1 Ga 2.50, 4 Mg 2.72-2.74
Ga3 0.4999 0.4999 0.8525  1 Ga 2.50, 4 Mg 2.72-2.74
Ga4 0.7957 0.7957 0.2958  5 Mg 2.84-3.18

---

Entry from the Alexandria database: an optimized crystal structure of PmMg6Ga2 (GGA-PBE).

Output
The calculation puts the energy relative to the elements at -0.2222 eV per atom. As for the space-group type: P4/mmm (123). The final energy comes out at -2.49 eV/atom. The density of states at the Fermi level comes out at 2.63 states/eV/cell.

Lattice parameters (Å, degrees): 4.4381 4.4381 10.2424 90.00 90.00 90.00
Last column: nearest neighbours and their distance in Å.
Atoms (fractional coordinates):
Pm1 0.0000 0.0000 0.0000  8 Ga 3.37, 8 Mg 3.60
Mg1 0.0000 0.0000 0.5000  12 Mg 3.14-3.18
Mg2 0.0000 0.5000 0.2771  2 Ga 2.74
Mg3 0.0000 0.5000 0.7229  2 Ga 2.74
Mg4 0.5000 0.0000 0.2771  2 Ga 2.74
Mg5 0.5000 0.0000 0.7229  2 Ga 2.74
Mg6 0.5000 0.5000 0.5000  12 Mg 3.14-3.18
Ga1 0.5000 0.5000 0.1193  1 Ga 2.44
Ga2 0.5000 0.5000 0.8807  1 Ga 2.44

---

Entry from the Alexandria database: an optimized crystal structure of PmMgGa (GGA-PBE).

Output
The calculation puts the energy relative to the elements at -0.4982 eV per atom. As for the space-group type: P-62m (189). The final energy comes out at -3.62 eV/atom. The density of states at the Fermi level comes out at 1.65 states/eV/cell.

Lattice parameters (Å, degrees): 7.4234 7.4234 4.5252 90.00 90.00 120.00
Last column: nearest neighbours and their distance in Å.
Atoms (fractional coordinates):
Pm1 0.0000 0.5768 0.0000  5 Ga 3.14-3.17, 2 Mg 3.35
Pm2 0.4232 0.4232 0.0000  5 Ga 3.14-3.17, 2 Mg 3.35
Pm3 0.5768 0.0000 0.0000  5 Ga 3.14-3.17, 2 Mg 3.35
Mg1 0.0000 0.2432 0.5000  4 Ga 2.87-2.89, 2 Mg 3.13
Mg2 0.2432 0.0000 0.5000  4 Ga 2.87-2.89, 2 Mg 3.13
Mg3 0.7568 0.7568 0.5000  4 Ga 2.87-2.89, 2 Mg 3.13
Ga1 0.0000 0.0000 0.0000  6 Mg 2.89, 3 Pm 3.14
Ga2 0.3333 0.6667 0.5000  3 Mg 2.87, 6 Pm 3.17
Ga3 0.6667 0.3333 0.5000  3 Mg 2.87, 6 Pm 3.17

---

Entry from the Alexandria database: an optimized crystal structure of PmMgGa2 (GGA-PBE).

Output
The calculation puts the energy relative to the elements at -0.4272 eV per atom. As for the space-group type: R-3m (166). The final energy comes out at -3.53 eV/atom. The density of states at the Fermi level comes out at 5.81 states/eV/cell.

Lattice parameters (Å, degrees): 4.4956 4.4956 15.5158 90.00 90.00 120.00
Last column: nearest neighbours and their distance in Å.
Atoms (fractional coordinates):
Pm1 0.0000 0.0000 0.0000  8 Ga 3.12-3.44
Pm2 0.3333 0.6667 0.6667  8 Ga 3.12-3.44
Pm3 0.6667 0.3333 0.3333  8 Ga 3.12-3.44
Mg1 0.0000 0.0000 0.5000  6 Ga 2.73
Mg2 0.3333 0.6667 0.1667  6 Ga 2.73
Mg3 0.6667 0.3333 0.8333  6 Ga 2.73
Ga1 0.0000 0.0000 0.2214  3 Mg 2.73
Ga2 0.0000 0.0000 0.7786  3 Mg 2.73
Ga3 0.3333 0.6667 0.4452  3 Mg 2.73
Ga4 0.3333 0.6667 0.8881  3 Mg 2.73
Ga5 0.6667 0.3333 0.1119  3 Mg 2.73
Ga6 0.6667 0.3333 0.5548  3 Mg 2.73

---

Entry from the Alexandria database: an optimized crystal structure of PmMg2Ga (GGA-PBE).

Output
The calculation puts the energy relative to the elements at -0.1417 eV per atom. As for the space-group type: P4/mmm (123). The final energy comes out at -2.88 eV/atom. The density of states at the Fermi level comes out at 2.29 states/eV/cell.

Lattice parameters (Å, degrees): 3.4283 3.4283 8.1388 90.00 90.00 90.00
Last column: nearest neighbours and their distance in Å.
Atoms (fractional coordinates):
Pm1 0.0000 0.0000 0.0000  4 Pm 3.43, 8 Mg 3.43
Mg1 0.5000 0.5000 0.2988  4 Ga 2.93, 1 Mg 3.28
Mg2 0.5000 0.5000 0.7012  4 Ga 2.93, 1 Mg 3.28
Ga1 0.0000 0.0000 0.5000  8 Mg 2.93

---

Entry from the Alexandria database: an optimized crystal structure of Pm5Mg4Ga (GGA-PBE).

Output
The calculation puts the energy relative to the elements at -0.1955 eV per atom. As for the space-group type: P4/mmm (123). The final energy comes out at -3.51 eV/atom. The density of states at the Fermi level comes out at 11.14 states/eV/cell.

Lattice parameters (Å, degrees): 3.7979 3.7979 19.3820 90.00 90.00 90.00
Last column: nearest neighbours and their distance in Å.
Atoms (fractional coordinates):
Pm1 0.0000 0.0000 0.0000  8 Mg 3.34
Pm2 0.0000 0.0000 0.2051  8 Mg 3.32-3.34
Pm3 0.0000 0.0000 0.4110  4 Ga 3.19, 4 Mg 3.37, 1 Pm 3.45
Pm4 0.0000 0.0000 0.5890  4 Ga 3.19, 4 Mg 3.37, 1 Pm 3.45
Pm5 0.0000 0.0000 0.7949  8 Mg 3.32-3.34
Mg1 0.5000 0.5000 0.1028  8 Pm 3.34
Mg2 0.5000 0.5000 0.3060  8 Pm 3.32-3.37
Mg3 0.5000 0.5000 0.6940  8 Pm 3.32-3.37
Mg4 0.5000 0.5000 0.8972  8 Pm 3.34
Ga1 0.5000 0.5000 0.5000  8 Pm 3.19

---

Entry from the Alexandria database: an optimized crystal structure of PmMg2Ga (GGA-PBE).

Output
The calculation puts the energy relative to the elements at -0.2627 eV per atom. As for the space-group type: Cm (8). The final energy comes out at -3.00 eV/atom. The density of states at the Fermi level comes out at 2.93 states/eV/cell.

Lattice parameters (Å, degrees): 8.7817 5.0559 5.0579 90.00 124.93 90.00
Last column: nearest neighbours and their distance in Å.
Atoms (fractional coordinates):
Pm1 0.0000 0.0000 0.0000  4 Ga 3.10-3.11, 4 Mg 3.10
Pm2 0.5000 0.5000 0.0000  4 Ga 3.10-3.11, 4 Mg 3.10
Mg1 0.0001 0.5000 0.5004  4 Ga 3.09-3.12, 4 Mg 3.09-3.12
Mg2 0.2501 0.5000 0.2516  4 Mg 3.09-3.12, 4 Pm 3.10
Mg3 0.5001 0.0000 0.5004  4 Ga 3.09-3.12, 4 Mg 3.09-3.12
Mg4 0.7501 0.0000 0.2516  4 Mg 3.09-3.12, 4 Pm 3.10
Ga1 0.2499 0.0000 0.7479  4 Mg 3.09-3.12, 4 Pm 3.10-3.11
Ga2 0.7499 0.5000 0.7479  4 Mg 3.09-3.12, 4 Pm 3.10-3.11

---

Entry from the Alexandria database: an optimized crystal structure of Pm3Mg4Ga4 (GGA-PBE).

Output
The calculation puts the energy relative to the elements at -0.4520 eV per atom. As for the space-group type: Immm (71). The final energy comes out at -3.43 eV/atom. The density of states at the Fermi level comes out at 5.31 states/eV/cell.

Lattice parameters (Å, degrees): 8.7109 8.7109 8.7109 149.62 130.25 59.42
Last column: nearest neighbours and their distance in Å.
Atoms (fractional coordinates):
Pm1 0.0000 0.0000 0.0000  6 Ga 3.26-3.28
Pm2 0.3807 0.8807 0.5000  6 Ga 3.21-3.37, 6 Mg 3.29-3.48
Pm3 0.6193 0.1193 0.5000  6 Ga 3.21-3.37, 6 Mg 3.29-3.48
Mg1 0.0245 0.3285 0.6960  4 Ga 2.74-2.80, 1 Mg 2.87
Mg2 0.3675 0.6715 0.6960  4 Ga 2.74-2.80, 1 Mg 2.87
Mg3 0.6325 0.3285 0.3040  4 Ga 2.74-2.80, 1 Mg 2.87
Mg4 0.9755 0.6715 0.3040  4 Ga 2.74-2.80, 1 Mg 2.87
Ga1 0.2169 0.2169 0.0000  6 Mg 2.78-2.80
Ga2 0.3167 0.5000 0.8167  1 Ga 2.69, 2 Mg 2.74
Ga3 0.6833 0.5000 0.1833  1 Ga 2.69, 2 Mg 2.74
Ga4 0.7831 0.7831 0.0000  6 Mg 2.78-2.80